Record 1
Sm2CuSi after structural relaxation. Source: Alexandria via LeMat-Bulk, functional PBE.

The structure in POSCAR format:
```
Sm2CuSi
1.0
-3.861 1.391 -0.562
-1.543 -5.253 -2.396
-1.187 -0.057 8.017
Cu Sm Si
2 4 2
Cartesian
-4.135 -2.092 0.333
-2.457 -1.828 4.726
-4.301 -0.110 6.376
-2.291 -3.809 -1.317
-3.768 -0.151 2.611
-2.825 -3.768 2.448
-1.737 -1.452 0.707
-4.855 -2.467 4.352
```

Summary:
- formation energy without anion corrections (eV/atom) = -0.479
- SG = No. 11

---

Record 2
Sm3Cu2Si4 after structural relaxation. Source: Alexandria via LeMat-Bulk, functional PBE.

The structure in POSCAR format:
```
Sm3Cu2Si4
1.0
-0.693 1.326 3.791
1.586 -5.576 0.050
7.375 3.475 0.131
Si Sm Cu
4 3 2
Cartesian
5.259 -1.544 3.692
7.634 0.494 1.222
0.635 -1.268 2.750
3.010 0.770 0.280
4.980 1.390 2.614
0.000 0.000 0.000
3.288 -2.163 1.358
6.260 -1.321 1.606
2.008 0.548 2.366
```

Summary:
- formation energy without anion corrections (eV/atom) = -0.730
- SG = No. 12